No. 1
! AcTb12Pm7 | Alexandria via LeMat-Bulk | GGA-PBE | optimized geometry; values from VASP
! - symmetry = No. 229
! - total energy (eV/cell) = -80.85
! - total magnetic moment (μB/f.u.) = 0.0
&SYSTEM
  ibrav = 0, nat = 20, ntyp = 3
/
ATOMIC_SPECIES
Pm 145.00 Pm.upf
Tb 158.93 Tb.upf
Ac 227.00 Ac.upf
ATOMIC_POSITIONS angstrom
Pm -2.3294 4.0347 -1.6472
Tb 3.4705 6.0071 -0.0718
Pm 4.6589 0.0000 -1.6472
Tb 5.7481 2.0623 -3.2927
Pm 0.0000 0.0000 4.9415
Tb -3.4671 6.0091 0.0718
Tb 2.2787 8.0675 -3.2226
Ac 0.0000 0.0000 0.0000
Pm 4.6589 0.0000 3.2943
Tb 3.5709 2.0603 0.0016
Tb 2.3802 0.0020 6.5169
Tb -1.0892 6.0071 6.5870
Tb 8.1260 2.0603 3.2226
Pm -2.3294 4.0347 3.2943
Pm 2.3294 4.0347 1.6472
Tb 4.6578 3.9468 3.2960
Pm 2.3294 4.0347 -3.2943
Tb 0.0011 4.1226 -0.0016
Tb 1.1884 2.0623 3.3661
Tb 1.0880 6.0091 3.2927
CELL_PARAMETERS angstrom
9.3178 0.0000 -3.2943
-4.6589 8.0694 -3.2943
0.0000 0.0000 9.8830

No. 2
! AcTbPm14 | Alexandria via LeMat-Bulk | GGA-PBE | optimized geometry; values from VASP
! - symmetry = No. 38
! - total energy (eV/cell) = -74.65
! - total magnetic moment (μB/f.u.) = 0.0
&SYSTEM
  ibrav = 0, nat = 16, ntyp = 3
/
ATOMIC_SPECIES
Pm 145.00 Pm.upf
Ac 227.00 Ac.upf
Tb 158.93 Tb.upf
ATOMIC_POSITIONS angstrom
Pm -1.1349 -4.8009 -2.7210
Pm -9.3633 -4.6159 1.2117
Pm -3.7186 -6.3621 3.5821
Pm -5.6734 -0.3319 -2.8885
Pm -5.9160 -5.6241 0.6893
Ac 1.0516 -5.5449 0.1550
Pm -2.4607 -4.5499 0.7029
Pm -10.4768 -1.1466 0.5525
Tb -2.2043 -1.3426 -3.3951
Pm -6.9896 -2.1402 0.0155
Pm -4.7920 -2.8785 2.9085
Pm -4.6284 -3.8127 -2.1802
Pm -3.5129 -1.0881 0.0220
Pm -7.1662 -5.3480 4.0737
Pm -8.2479 -1.8913 3.4139
Pm -0.0217 -2.0817 -0.5232
CELL_PARAMETERS angstrom
-4.3882 1.4760 -5.7762
2.1448 -6.9559 1.3469
-9.5513 -1.6201 6.8421

No. 3
! AcTb6Pm5 | Alexandria via LeMat-Bulk | GGA-PBE | optimized geometry; values from VASP
! - symmetry = No. 71
! - total energy (eV/cell) = -55.34
! - total magnetic moment (μB/f.u.) = 0.0
&SYSTEM
  ibrav = 0, nat = 12, ntyp = 3
/
ATOMIC_SPECIES
Ac 227.00 Ac.upf
Tb 158.93 Tb.upf
Pm 145.00 Pm.upf
ATOMIC_POSITIONS angstrom
Ac 0.0000 0.0000 0.0000
Tb 1.4290 6.6977 -4.2041
Pm 0.5473 6.9310 1.9693
Tb 4.0719 0.2397 4.7715
Pm 1.2564 2.4566 4.3408
Pm 3.1118 1.2625 1.4931
Tb -0.4128 7.9539 -1.3090
Tb 2.1132 2.3062 -1.9168
Tb 3.3792 4.6856 2.4559
Pm -0.6999 4.4923 -2.3398
Pm 2.4027 5.7369 -0.8783
Tb 0.2799 3.5080 1.0066
CELL_PARAMETERS angstrom
4.9420 0.0192 -1.4413
-1.3998 8.9846 -4.6796
0.1169 -0.8103 9.5834

No. 4
! AcTb4Pm7 | Alexandria via LeMat-Bulk | GGA-PBE | optimized geometry; values from VASP
! - symmetry = No. 2
! - total energy (eV/cell) = -55.72
! - total magnetic moment (μB/f.u.) = 0.0
&SYSTEM
  ibrav = 0, nat = 12, ntyp = 3
/
ATOMIC_SPECIES
Tb 158.93 Tb.upf
Pm 145.00 Pm.upf
Ac 227.00 Ac.upf
ATOMIC_POSITIONS angstrom
Tb 4.0852 2.8070 7.0716
Pm 3.3606 3.9636 10.4428
Tb 7.2183 6.5261 5.2439
Tb 2.8034 2.1080 3.7899
Pm 3.5238 0.9646 0.4265
Ac 0.0000 0.0000 0.0000
Pm 6.3121 3.1129 4.2577
Pm 7.9429 5.3695 1.8727
Pm 7.6789 3.8007 7.4991
Tb 8.5001 7.2251 8.5257
Pm 4.9914 6.2202 8.0578
Pm 3.6246 5.5324 4.8164
CELL_PARAMETERS angstrom
7.0476 1.9293 0.8530
5.2411 7.8272 2.4453
-0.9852 -0.4234 9.0172

No. 5
! Ac6Tb5Pm2 | Alexandria via LeMat-Bulk | GGA-PBE | optimized geometry; values from VASP
! - symmetry = No. 55
! - total energy (eV/cell) = -110.18
! - total magnetic moment (μB/f.u.) = 0.0
&SYSTEM
  ibrav = 0, nat = 26, ntyp = 3
/
ATOMIC_SPECIES
Tb 158.93 Tb.upf
Pm 145.00 Pm.upf
Ac 227.00 Ac.upf
ATOMIC_POSITIONS angstrom
Tb 1.8779 9.5027 0.0974
Pm 0.0000 1.8473 18.2061
Pm 0.0000 9.5442 5.4806
Tb 1.8779 4.6949 17.7685
Ac 1.8779 1.8780 14.9670
Ac 0.0000 4.0027 21.0059
Ac 0.0000 5.4507 14.4831
Tb 1.8779 7.5845 11.9408
Ac 0.0000 11.1464 21.0470
Pm 0.0000 3.8485 6.3627
Tb 1.8779 6.6966 5.9182
Ac 0.0000 1.6931 9.1625
Ac 1.8779 3.8177 3.1237
Ac 0.0000 5.9408 9.2037
Ac 0.0000 7.3888 2.6809
Tb 1.8779 0.0000 11.8434
Tb 1.8779 3.8070 11.7460
Ac 1.8779 9.5134 8.7197
Ac 0.0000 9.6984 14.5242
Ac 0.0000 0.2450 2.6397
Tb 1.8779 5.6957 0.0000
Pm 0.0000 7.5430 17.3240
Tb 1.8779 10.3906 17.7616
Ac 1.8779 7.5737 20.5631
Tb 1.8779 1.8887 23.5893
Tb 1.8779 1.0009 5.9251
CELL_PARAMETERS angstrom
3.7559 0.0000 0.0000
0.0000 11.3915 0.0000
0.0000 0.0000 23.6867

No. 6
! AcTb4Pm10 | Alexandria via LeMat-Bulk | GGA-PBE | optimized geometry; values from VASP
! - symmetry = No. 87
! - total energy (eV/cell) = -62.89
! - total magnetic moment (μB/f.u.) = 0.0
&SYSTEM
  ibrav = 0, nat = 15, ntyp = 3
/
ATOMIC_SPECIES
Pm 145.00 Pm.upf
Tb 158.93 Tb.upf
Ac 227.00 Ac.upf
ATOMIC_POSITIONS angstrom
Pm 9.0607 -4.4484 3.1297
Pm 2.8160 -5.0150 3.2386
Pm 5.9957 -4.7617 6.3192
Pm 5.9374 -4.7211 3.1843
Tb 3.2673 -6.7510 6.2334
Tb 2.7093 -3.2288 0.3737
Pm 3.1250 -8.4317 3.1770
Pm 6.3085 -8.2206 6.2568
Tb 8.9184 -6.1291 0.0733
Pm 5.8772 -4.6594 0.0499
Pm 9.3696 -7.8651 3.0681
Pm 6.1899 -8.1184 -0.0125
Ac 0.0000 0.0000 0.0000
Tb 9.4763 -9.6513 5.9330
Pm 6.2483 -8.1590 3.1224
CELL_PARAMETERS angstrom
0.6217 -6.8757 -0.1239
9.0376 -2.6089 -2.2719
2.5264 -3.3955 8.7025

No. 7
! AcTbPm5 | Alexandria via LeMat-Bulk | GGA-PBE | optimized geometry; values from VASP
! - symmetry = No. 15
! - total energy (eV/cell) = -63.72
! - total magnetic moment (μB/f.u.) = 0.0
&SYSTEM
  ibrav = 0, nat = 14, ntyp = 3
/
ATOMIC_SPECIES
Pm 145.00 Pm.upf
Ac 227.00 Ac.upf
Tb 158.93 Tb.upf
ATOMIC_POSITIONS angstrom
Pm 1.9468 -5.0183 0.2937
Pm -0.5344 -6.2663 2.4576
Pm 10.3193 -1.8150 3.1878
Pm 8.5366 1.1486 4.5108
Pm -2.3171 -3.3027 3.7806
Ac 5.8969 0.9071 1.3812
Tb 6.9781 -2.1693 4.0951
Pm 4.3709 -4.1703 2.9501
Tb 1.0242 -2.9485 2.8733
Pm 3.6002 -1.9135 0.4438
Pm 3.6313 -0.9475 4.0183
Pm 6.0555 -0.0995 6.6747
Pm 4.4020 -3.2042 6.5246
Ac 0.0000 0.0000 0.0000
CELL_PARAMETERS angstrom
-3.2536 -0.4197 5.8994
-0.5380 -6.5122 -1.6935
11.7938 1.8142 2.7625

No. 8
! Ac3TbPm12 | Alexandria via LeMat-Bulk | GGA-PBE | optimized geometry; values from VASP
! - symmetry = No. 123
! - total energy (eV/cell) = -73.51
! - total magnetic moment (μB/f.u.) = 0.0
&SYSTEM
  ibrav = 0, nat = 16, ntyp = 3
/
ATOMIC_SPECIES
Pm 145.00 Pm.upf
Ac 227.00 Ac.upf
Tb 158.93 Tb.upf
ATOMIC_POSITIONS angstrom
Pm 2.6205 2.6205 5.1551
Pm 0.0000 2.6205 13.1164
Ac 0.0000 0.0000 5.1775
Pm 2.6205 0.0000 7.8220
Pm 0.0000 2.6205 7.8220
Ac 0.0000 0.0000 15.7609
Pm 2.6205 2.6205 15.7832
Pm 2.6205 0.0000 2.5094
Pm 0.0000 2.6205 2.5094
Pm 2.6205 2.6205 10.4692
Pm 2.6205 0.0000 18.4289
Tb 0.0000 0.0000 0.0000
Pm 2.6205 0.0000 13.1164
Ac 0.0000 0.0000 10.4692
Pm 2.6205 2.6205 0.0000
Pm 0.0000 2.6205 18.4289
CELL_PARAMETERS angstrom
5.2410 0.0000 0.0000
0.0000 5.2410 0.0000
0.0000 0.0000 20.9383

Question: What is the formula in the fifth record?
Answer: Ac6Tb5Pm2

Question: Which formula does entry 3 have?
Answer: AcTb6Pm5

Copy entry 3 word for word.
! AcTb6Pm5 | Alexandria via LeMat-Bulk | GGA-PBE | optimized geometry; values from VASP
! - symmetry = No. 71
! - total energy (eV/cell) = -55.34
! - total magnetic moment (μB/f.u.) = 0.0
&SYSTEM
  ibrav = 0, nat = 12, ntyp = 3
/
ATOMIC_SPECIES
Ac 227.00 Ac.upf
Tb 158.93 Tb.upf
Pm 145.00 Pm.upf
ATOMIC_POSITIONS angstrom
Ac 0.0000 0.0000 0.0000
Tb 1.4290 6.6977 -4.2041
Pm 0.5473 6.9310 1.9693
Tb 4.0719 0.2397 4.7715
Pm 1.2564 2.4566 4.3408
Pm 3.1118 1.2625 1.4931
Tb -0.4128 7.9539 -1.3090
Tb 2.1132 2.3062 -1.9168
Tb 3.3792 4.6856 2.4559
Pm -0.6999 4.4923 -2.3398
Pm 2.4027 5.7369 -0.8783
Tb 0.2799 3.5080 1.0066
CELL_PARAMETERS angstrom
4.9420 0.0192 -1.4413
-1.3998 8.9846 -4.6796
0.1169 -0.8103 9.5834

Question: total magnetic moment of number 8 (Ac3TbPm12)?
Answer: 0.0 μB/f.u.